(1)
VASP calculation (GGA-PBE) on crystalline Si2GeBi2 at its relaxed geometry.

Cell: 6.488 6.488 5.883 Å, 90.00 90.00 90.00°
Atoms (fractional coordinates):
Ge: 0.000 0.000 0.000
Ge: 0.500 0.500 0.000
Si: 0.368 0.868 0.000
Si: 0.868 0.632 0.000
Si: 0.632 0.132 0.000
Si: 0.132 0.368 0.000
Bi: 0.307 0.807 0.500
Bi: 0.807 0.693 0.500
Bi: 0.693 0.193 0.500
Bi: 0.193 0.307 0.500

Properties
Its polymorph energy (0 for the lowest one) is 7 meV per atom. Its uncorrected formation energy is 0.360 eV per atom.



(2)
VASP calculation (GGA-PBE) on crystalline Si2GeBi at its relaxed geometry.

Cell: 6.122 6.122 7.236 Å, 64.97 64.97 90.00°
Atoms (fractional coordinates):
Ge: 0.500 0.500 0.000
Ge: 0.250 0.750 0.500
Si: 0.575 0.125 0.250
Si: 0.175 0.625 0.250
Si: 0.375 0.425 0.750
Si: 0.875 0.825 0.750
Bi: 0.000 0.000 0.000
Bi: 0.750 0.250 0.500

Properties
Its polymorph energy (0 for the lowest one) is 0 meV per atom. Its uncorrected formation energy is 0.357 eV per atom.



(3)
VASP calculation (GGA-PBE) on crystalline Si2GeBi2 at its relaxed geometry.

Cell: 3.543 3.543 9.699 Å, 79.48 79.48 90.00°
Atoms (fractional coordinates):
Ge: 0.000 0.000 0.000
Si: 0.750 0.250 0.500
Si: 0.250 0.750 0.500
Bi: 0.394 0.394 0.213
Bi: 0.606 0.606 0.787

Properties
Its polymorph energy (0 for the lowest one) is 0 meV per atom. Its uncorrected formation energy is 0.352 eV per atom.



(4)
VASP calculation (GGA-PBE) on crystalline Si2Ge2Bi at its relaxed geometry.

Cell: 4.842 4.842 5.556 Å, 64.16 64.16 90.00°
Atoms (fractional coordinates):
Ge: 0.750 0.250 0.500
Ge: 0.250 0.750 0.500
Si: 0.364 0.364 0.272
Si: 0.636 0.636 0.728
Bi: 0.000 0.000 0.000

Properties
Its polymorph energy (0 for the lowest one) is 0 meV per atom. Its uncorrected formation energy is 0.324 eV per atom.



(5)
VASP calculation (GGA-PBE) on crystalline Si2GeBi at its relaxed geometry.

Cell: 4.907 4.907 4.907 Å, 60.00 60.00 60.00°
Atoms (fractional coordinates):
Ge: 0.000 0.000 0.000
Si: 0.250 0.250 0.250
Si: 0.750 0.750 0.750
Bi: 0.500 0.500 0.500

Properties
Its polymorph energy (0 for the lowest one) is 254 meV per atom. Its uncorrected formation energy is 0.610 eV per atom.



(6)
VASP calculation (GGA-PBE) on crystalline SiGeBi2 at its relaxed geometry.

Cell: 6.837 6.837 7.676 Å, 63.56 63.56 90.00°
Atoms (fractional coordinates):
Ge: 0.000 0.000 0.000
Ge: 0.750 0.250 0.500
Si: 0.500 0.500 0.000
Si: 0.250 0.750 0.500
Bi: 0.609 0.125 0.250
Bi: 0.141 0.625 0.250
Bi: 0.375 0.391 0.750
Bi: 0.875 0.859 0.750

Properties
Its uncorrected formation energy is 0.453 eV per atom.



(7)
VASP calculation (GGA-PBE) on crystalline Si2Ge2Bi at its relaxed geometry.

Cell: 3.627 3.627 8.454 Å, 77.61 77.61 90.00°
Atoms (fractional coordinates):
Ge: 0.375 0.375 0.249
Ge: 0.625 0.625 0.751
Si: 0.750 0.250 0.500
Si: 0.250 0.750 0.500
Bi: 0.000 0.000 0.000

Properties
Its polymorph energy (0 for the lowest one) is 19 meV per atom. Its uncorrected formation energy is 0.343 eV per atom.



(8)
VASP calculation (GGA-PBE) on crystalline Sm2GeBi at its relaxed geometry.

Cell: 4.229 4.229 8.323 Å, 75.28 75.28 60.00°
Atoms (fractional coordinates):
Sm: 0.088 0.088 0.736
Sm: 0.245 0.245 0.264
Ge: 0.498 0.498 0.505
Bi: 0.668 0.668 0.995

Properties
Its polymorph energy (0 for the lowest one) is 197 meV per atom.



(9)
VASP calculation (GGA-PBE) on crystalline Sm2GeBi at its relaxed geometry.

Cell: 4.312 4.312 7.861 Å, 74.08 74.08 60.00°
Atoms (fractional coordinates):
Ge: 0.000 0.000 0.000
Bi: 0.500 0.500 0.500
Sm: 0.742 0.742 0.774
Sm: 0.258 0.258 0.226

Properties
Its polymorph energy (0 for the lowest one) is 21 meV per atom.



(10)
VASP calculation (GGA-PBE) on crystalline SmGeBi2 at its relaxed geometry.

Cell: 4.827 4.794 4.794 Å, 90.00 90.00 90.00°
Atoms (fractional coordinates):
Ge: 0.500 0.000 0.000
Bi: 0.000 0.000 0.500
Bi: 0.000 0.500 0.000
Sm: 0.500 0.500 0.500



(11)
VASP calculation (GGA-PBE) on crystalline Sm6Ge3Bi at its relaxed geometry.

Cell: 7.675 9.090 9.090 Å, 105.98 90.00 90.00°
Atoms (fractional coordinates):
Sm: 0.145 0.720 0.641
Sm: 0.645 0.641 0.720
Sm: 0.251 0.476 0.910
Sm: 0.751 0.910 0.476
Sm: 0.269 0.005 0.995
Sm: 0.610 0.247 0.753
Sm: 0.110 0.753 0.247
Sm: 0.769 0.995 0.005
Sm: 0.251 0.090 0.524
Sm: 0.751 0.524 0.090
Sm: 0.145 0.359 0.280
Sm: 0.645 0.280 0.359
Ge: 0.475 0.925 0.711
Ge: 0.975 0.711 0.925
Ge: 0.364 0.417 0.583
Ge: 0.864 0.583 0.417
Ge: 0.975 0.075 0.289
Ge: 0.475 0.289 0.075
Bi: 0.998 0.177 0.823
Bi: 0.498 0.823 0.177



(12)
VASP calculation (GGA-PBE) on crystalline SmGe4Bi at its relaxed geometry.

Cell: 5.733 5.733 5.733 Å, 60.00 60.00 60.00°
Atoms (fractional coordinates):
Ge: 0.626 0.626 0.123
Ge: 0.626 0.123 0.626
Ge: 0.626 0.626 0.626
Ge: 0.123 0.626 0.626
Bi: 0.250 0.250 0.250
Sm: 0.000 0.000 0.000



So what do the calculations give for energy? Going down the list: -42.9, -35.8, -21.5, -22.3, -16.9, -32.0, -22.2, -20.4, -21.1, -18.4, -104.2, -27.9 eV/cell.